*i*
The following is a GGA-PBE calculation of an optimized crystal structure of Ta2FeCl, from Alexandria.

Values from the calculation:
The value obtained for the total moment is 0.3250 μB per atom. As for the volume: 78.84 Å³/cell.

Cell lengths 3.044, 3.044, 8.511 Å; angles 90.00, 90.00, 90.00 degrees
Atoms (fractional coordinates):
Ta 0.000 0.000 0.000
Ta 0.500 0.500 0.247
Fe 0.500 0.500 0.852
Cl 0.000 0.000 0.443

***

*ii*
The following is a GGA-PBE calculation of an optimized crystal structure of Ta2FeCl, from Alexandria.

Values from the calculation:
The value obtained for the total moment is 0.0001 μB per atom. As for the volume: 60.99 Å³/cell.

Cell lengths 5.330, 5.330, 5.330 Å; angles 148.14, 129.63, 60.84 degrees
Atoms (fractional coordinates):
Ta 0.000 0.000 0.000
Ta 0.707 0.207 0.500
Fe 0.468 0.468 0.000
Cl 0.245 0.745 0.500

***

The most stable of them is *i*.